No. 1
This record from Alexandria describes a relaxed Li2ZrRu2 crystal. The functional is GGA-PBE.

a = 6.5391 Å, b = 6.5391 Å, c = 3.2640 Å
α = 90.00°, β = 90.00°, γ = 90.00°
Fractional coordinates of all 10 atoms:
Zr 0.0000 0.0000 0.0000
Zr 0.5000 0.5000 0.0000
Ru 0.6901 0.8099 0.5000
Ru 0.8099 0.3099 0.5000
Ru 0.3099 0.1901 0.5000
Ru 0.1901 0.6901 0.5000
Li 0.8921 0.6079 0.0000
Li 0.1079 0.3921 0.0000
Li 0.3921 0.8921 0.0000
Li 0.6079 0.1079 0.0000

- Relative energy among the computed polymorphs: 0 meV per atom
- ΔH_f (0 K): 3.2 kcal/mol of atoms
- Total magnetization: 0.000 μB/f.u.

No. 2
This record from Alexandria describes a relaxed KAg2OsCl8 crystal. The functional is GGA-PBE.

a = 6.3351 Å, b = 7.3324 Å, c = 8.6308 Å
α = 85.00°, β = 92.95°, γ = 120.29°
Last column: magnetic moment on the atom in μB.
Fractional coordinates of all 12 atoms:
Cl 0.5630 0.2903 0.4779  0.05
Cl 0.9242 0.1880 0.7972  0.11
Cl 0.0124 0.2369 0.1704  0.08
Cl 0.4370 0.7097 0.5221  0.05
Cl 0.5793 0.7791 0.0391  0.09
Cl 0.9876 0.7631 0.8296  0.08
Cl 0.0758 0.8120 0.2028  0.11
Cl 0.4207 0.2209 0.9609  0.09
Ag 0.4798 0.5274 0.2866  0.08
Ag 0.5202 0.4726 0.7134  0.08
K 0.0000 0.0000 0.5000  0.00
Os 0.0000 0.0000 0.0000  1.73

- Uncorrected formation energy: -667 meV/atom
- Total magnetization: 2.917 μB/f.u.

No. 3
This record from Alexandria describes a relaxed AcPb2ClO4 crystal. The functional is GGA-PBE.

a = 4.1378 Å, b = 4.1378 Å, c = 9.1273 Å
α = 90.00°, β = 90.00°, γ = 90.00°
Fractional coordinates of all 8 atoms:
Cl 0.0000 0.0000 0.5000
O 0.0000 0.5000 0.1692
O 0.5000 0.0000 0.1692
O 0.0000 0.5000 0.8308
O 0.5000 0.0000 0.8308
Pb 0.5000 0.5000 0.7165
Pb 0.5000 0.5000 0.2835
Ac 0.0000 0.0000 0.0000

- Uncorrected formation energy: -1615 meV/atom
- Total magnetization: 0.000 μB/f.u.

No. 4
This record from Alexandria describes a relaxed MgW8 crystal. The functional is GGA-PBE.

a = 6.1616 Å, b = 6.1616 Å, c = 6.1616 Å
α = 97.71°, β = 97.71°, γ = 137.04°
Fractional coordinates of all 9 atoms:
W 0.0000 0.3338 0.3338
W 0.0000 0.6662 0.6662
W 0.3356 0.6644 0.0000
W 0.6644 0.6644 0.3288
W 0.6662 0.0000 0.6662
W 0.3356 0.3356 0.6712
W 0.3338 0.0000 0.3338
W 0.6644 0.3356 0.0000
Mg 0.0000 0.0000 0.0000

- ΔH_f (0 K): 10.1 kcal/mol of atoms
- Total magnetization: 0.000 μB/f.u.

No. 5
This record from Alexandria describes a relaxed Sc3SnH2 crystal. The functional is GGA-PBE.

a = 3.3368 Å, b = 5.8528 Å, c = 11.2103 Å
α = 109.18°, β = 98.56°, γ = 90.00°
Fractional coordinates of all 12 atoms:
Sc 0.7636 0.7432 0.5273
Sc 0.2364 0.2568 0.4727
Sc 0.0314 0.7954 0.0628
Sc 0.3928 0.6743 0.7855
Sc 0.9686 0.2046 0.9372
Sc 0.6072 0.3257 0.2145
H 0.7074 0.3944 0.4147
H 0.0574 0.1717 0.1149
H 0.2926 0.6056 0.5853
H 0.9426 0.8283 0.8851
Sn 0.6468 0.8605 0.2936
Sn 0.3532 0.1395 0.7064

- Total magnetization: 0.002 μB/f.u.

No. 6
This record from Alexandria describes a relaxed Ac12Pm3Hg5 crystal. The functional is GGA-PBE.

a = 17.0560 Å, b = 17.0560 Å, c = 17.0560 Å
α = 109.47°, β = 109.47°, γ = 109.47°
Fractional coordinates of all 80 atoms:
Ac 0.4079 0.1258 0.5766
Ac 0.5492 0.2179 0.1258
Ac 0.2179 0.6687 0.0921
Ac 0.6258 0.5766 0.9079
Ac 0.0492 0.6258 0.7179
Ac 0.3313 0.5492 0.4234
Ac 0.3742 0.9508 0.7821
Ac 0.1687 0.0766 0.9508
Ac 0.9234 0.8313 0.5492
Ac 0.3313 0.7821 0.4079
Ac 0.8313 0.9234 0.0492
Ac 0.0921 0.1687 0.2179
Ac 0.0492 0.4234 0.8313
Ac 0.6687 0.2179 0.5921
Ac 0.1258 0.4079 0.0766
Ac 0.4508 0.6687 0.0766
Ac 0.0921 0.9234 0.3742
Ac 0.5766 0.9508 0.6687
Ac 0.8742 0.5921 0.9234
Ac 0.9079 0.0766 0.6258
Ac 0.8313 0.9079 0.2821
Ac 0.3742 0.4234 0.0921
Ac 0.0766 0.9079 0.1258
Ac 0.1258 0.7179 0.5492
Ac 0.4234 0.3742 0.5921
Ac 0.4234 0.0492 0.3313
Ac 0.7179 0.1258 0.0492
Ac 0.7179 0.5921 0.1687
Ac 0.5492 0.3313 0.9234
Ac 0.5921 0.7179 0.6687
Ac 0.5766 0.6258 0.4079
Ac 0.8742 0.2821 0.4508
Ac 0.2179 0.5492 0.6258
Ac 0.9079 0.8313 0.7821
Ac 0.1687 0.0921 0.7179
Ac 0.9508 0.5766 0.1687
Ac 0.2821 0.8742 0.9508
Ac 0.0766 0.1687 0.4508
Ac 0.9508 0.3742 0.2821
Ac 0.9234 0.0921 0.8742
Ac 0.7821 0.3313 0.9079
Ac 0.7821 0.4508 0.3742
Ac 0.4508 0.7821 0.8742
Ac 0.2821 0.4079 0.8313
Ac 0.6687 0.4508 0.5766
Ac 0.5921 0.8742 0.4234
Ac 0.4079 0.2821 0.3313
Ac 0.6258 0.0492 0.2179
Pm 0.6250 0.3750 0.7500
Pm 0.2500 0.1250 0.3750
Pm 0.3750 0.7500 0.6250
Pm 0.8750 0.1250 0.2500
Pm 0.8750 0.7500 0.1250
Pm 0.1250 0.8750 0.7500
Pm 0.1250 0.2500 0.8750
Pm 0.6250 0.2500 0.3750
Pm 0.7500 0.8750 0.6250
Pm 0.2500 0.6250 0.8750
Pm 0.3750 0.6250 0.2500
Pm 0.7500 0.3750 0.1250
Hg 0.3750 0.2500 0.1250
Hg 0.5000 0.5000 0.0000
Hg 0.8750 0.6250 0.7500
Hg 0.7500 0.1250 0.8750
Hg 0.5000 0.0000 0.5000
Hg 0.2500 0.8750 0.1250
Hg 0.0000 0.0000 0.0000
Hg 0.3750 0.1250 0.7500
Hg 0.7500 0.6250 0.3750
Hg 0.5000 0.0000 0.0000
Hg 0.1250 0.3750 0.2500
Hg 0.1250 0.7500 0.3750
Hg 0.0000 0.0000 0.5000
Hg 0.5000 0.5000 0.5000
Hg 0.0000 0.5000 0.0000
Hg 0.6250 0.8750 0.2500
Hg 0.6250 0.7500 0.8750
Hg 0.0000 0.5000 0.5000
Hg 0.8750 0.2500 0.6250
Hg 0.2500 0.3750 0.6250

- ΔH_f (0 K): 6.2 kcal/mol of atoms
- Total magnetization: 0.000 μB/f.u.

No. 7
This record from Alexandria describes a relaxed Li2Ta2Cd crystal. The functional is GGA-PBE.

a = 7.7602 Å, b = 7.7602 Å, c = 2.8615 Å
α = 90.00°, β = 90.00°, γ = 90.00°
Fractional coordinates of all 10 atoms:
Ta 0.6198 0.8802 0.5000
Ta 0.1198 0.6198 0.5000
Ta 0.8802 0.3802 0.5000
Ta 0.3802 0.1198 0.5000
Cd 0.5000 0.5000 0.0000
Cd 0.0000 0.0000 0.0000
Li 0.8225 0.6775 0.0000
Li 0.1775 0.3225 0.0000
Li 0.6775 0.1775 0.0000
Li 0.3225 0.8225 0.0000

- Relative energy among the computed polymorphs: 39 meV per atom
- ΔH_f (0 K): 14.0 kcal/mol of atoms
- Total magnetization: 0.000 μB/f.u.

No. 8
This record from Alexandria describes a relaxed Cs2VSn crystal. The functional is GGA-PBE.

a = 14.1619 Å, b = 14.1619 Å, c = 10.3594 Å
α = 46.88°, β = 46.88°, γ = 90.00°
Last column: magnetic moment on the atom in μB.
Fractional coordinates of all 8 atoms:
Sn 0.0000 0.0000 0.0000  -0.10
Sn 0.7500 0.2500 0.5000  -0.10
V 0.2500 0.7500 0.5000  2.82
V 0.5000 0.5000 0.0000  2.82
Cs 0.8750 0.6277 0.7500  0.02
Cs 0.3777 0.1250 0.2500  0.02
Cs 0.3723 0.6250 0.2500  0.02
Cs 0.3750 0.6223 0.7500  0.02

- Relative energy among the computed polymorphs: 0 meV per atom
- ΔH_f (0 K): 12.3 kcal/mol of atoms
- Total magnetization: 3.386 μB/f.u.

No. 9
This record from Alexandria describes a relaxed ReW2Cl crystal. The functional is GGA-PBE.

a = 5.1047 Å, b = 5.3336 Å, c = 2.8263 Å
α = 77.54°, β = 80.55°, γ = 117.56°
Fractional coordinates of all 4 atoms:
Re 0.5000 0.0000 0.5000
W 0.0000 0.5000 0.5000
W 0.0000 0.0000 0.0000
Cl 0.5000 0.5000 0.0000

- Uncorrected formation energy: 1015 meV/atom
- Relative energy among the computed polymorphs: 613 meV per atom
- Total magnetization: 0.000 μB/f.u.

No. 10
This record from Alexandria describes a relaxed Ho4GeAsS2 crystal. The functional is GGA-PBE.

a = 4.0251 Å, b = 6.9255 Å, c = 6.9762 Å
α = 70.45°, β = 90.00°, γ = 90.00°
Fractional coordinates of all 8 atoms:
S 0.0000 0.0000 0.0000
S 0.5000 0.0000 0.5000
As 0.5000 0.5000 0.0000
Ho 0.5000 0.7483 0.2527
Ho 0.0000 0.7485 0.7477
Ho 0.0000 0.2515 0.2523
Ho 0.5000 0.2517 0.7473
Ge 0.0000 0.5000 0.5000

- Uncorrected formation energy: -1631 meV/atom
- Total magnetization: 0.000 μB/f.u.

No. 11
This record from Alexandria describes a relaxed La3Ga2Cu9 crystal. The functional is GGA-PBE.

a = 4.2868 Å, b = 8.1937 Å, c = 8.1937 Å
α = 65.19°, β = 74.84°, γ = 74.84°
Fractional coordinates of all 14 atoms:
La 0.7077 0.2923 0.2923
La 0.2923 0.7077 0.7077
La 0.0000 0.0000 0.0000
Cu 0.1280 0.1591 0.5848
Cu 0.6618 0.9849 0.6914
Cu 0.1280 0.5848 0.1591
Cu 0.8720 0.4152 0.8409
Cu 0.6618 0.6914 0.9849
Cu 0.8720 0.8409 0.4152
Cu 0.3382 0.3086 0.0151
Cu 0.0000 0.5000 0.5000
Cu 0.3382 0.0151 0.3086
Ga 0.5000 0.3126 0.6874
Ga 0.5000 0.6874 0.3126

- ΔH_f (0 K): -5.4 kcal/mol of atoms
- Total magnetization: 0.000 μB/f.u.

No. 12
This record from Alexandria describes a relaxed Ho11Hg9Au4 crystal. The functional is GGA-PBE.

a = 3.6928 Å, b = 13.1424 Å, c = 13.1424 Å
α = 112.41°, β = 90.00°, γ = 90.00°
Fractional coordinates of all 24 atoms:
Ho 0.0000 0.2884 0.2884
Ho 0.0000 0.7116 0.7116
Ho 0.0000 0.9280 0.5860
Ho 0.0000 0.0000 0.0000
Ho 0.0000 0.1670 0.8330
Ho 0.0000 0.0720 0.4140
Ho 0.0000 0.5860 0.9280
Ho 0.0000 0.8330 0.1670
Ho 0.0000 0.6376 0.3624
Ho 0.0000 0.3624 0.6376
Ho 0.0000 0.4140 0.0720
Hg 0.5000 0.0569 0.2092
Hg 0.5000 0.9431 0.7908
Hg 0.5000 0.1493 0.6324
Hg 0.5000 0.6324 0.1493
Hg 0.5000 0.3676 0.8507
Hg 0.5000 0.8507 0.3676
Hg 0.5000 0.2092 0.0569
Hg 0.5000 0.5000 0.5000
Hg 0.5000 0.7908 0.9431
Au 0.5000 0.2530 0.4492
Au 0.5000 0.7470 0.5508
Au 0.5000 0.4492 0.2530
Au 0.5000 0.5508 0.7470

- ΔH_f (0 K): -13.9 kcal/mol of atoms
- Total magnetization: 0.000 μB/f.u.

| no. | E (eV/atom) |
| --- | --- |
| 1 | -6.05 |
| 2 | -3.40 |
| 3 | -5.77 |
| 4 | -11.26 |
| 5 | -5.42 |
| 6 | -2.98 |
| 7 | -5.08 |
| 8 | -3.17 |
| 9 | -9.03 |
| 10 | -6.11 |
| 11 | -4.36 |
| 12 | -3.36 |